## Li2FeAs (PBE)

Data for a geometry-optimized Li2FeAs structure.

Structure (POSCAR):
```
Li2FeAs
1.0
8.9904 -0.0303 -0.0178
8.5622 2.7417 -0.0178
8.5622 1.3227 2.4017
As Fe Li
1 1 2
Direct
0.2500 0.2500 0.2500
0.7500 0.7500 0.7500
0.9960 0.9960 0.9960
0.5040 0.5040 0.5040
```

Properties
**Final energy**: -16.49 eV for the cell shown
**ΔH_f (0 K)**: 0.11 eV/atom

***

## NaCSe2 (PBE)

Data for a geometry-optimized NaCSe2 structure.

Structure (POSCAR):
```
NaCSe2
1.0
2.8635 0.0000 5.9258
-1.4318 2.4799 5.9258
-1.4318 -2.4799 5.9258
Na C Se
1 1 2
Direct
0.5000 0.5000 0.5000
0.0000 0.0000 0.0000
0.9010 0.9010 0.9010
0.0990 0.0990 0.0990
```

Properties
**Uncorrected formation energy**: 0.350 eV/atom
**Final energy**: -16.11 eV for the cell shown

***

## ZnIn2Si (PBE)

Data for a geometry-optimized ZnIn2Si structure.

Structure (POSCAR):
```
ZnIn2Si
1.0
-4.8332 4.2685 -6.1331
-7.0114 4.1977 -3.5235
-4.6435 6.6313 -3.6958
In Si Zn
2 1 1
Direct
0.0083 0.0083 0.0083
0.2417 0.2417 0.2417
0.4906 0.4906 0.4906
0.7594 0.7594 0.7594
```

Properties
**Uncorrected formation energy**: 0.265 eV/atom
**Distance to the lowest polymorph of the same formula**: 0.34 eV per formula unit
**Final energy**: -11.12 eV for the cell shown